1.
PBE LiDyNiGe, relaxed; calculated formation energy = -557 meV per atom; V = 62.6 Å³/f.u.; ρ = 7.973 g/cm³
1.0
-3.309 -2.259 1.954
0.086 -0.720 4.398
-2.878 2.121 2.663
Ni Li Dy Ge
1 1 1 1
direct
0.500 0.500 0.500
0.000 0.000 0.000
0.750 0.750 0.750
0.250 0.250 0.250


2.
PBE CuSe7, relaxed; energy relative to the elements, uncorrected = 67.48 kJ per mole of atoms; V = 159.4 Å³/f.u.; ρ = 6.420 g/cm³
1.0
0.000 4.303 4.303
4.303 0.000 4.303
4.303 4.303 0.000
Cu Se
1 7
direct
0.000 0.000 0.000
0.500 0.500 0.000
0.000 0.500 0.500
0.000 0.500 0.000
0.000 0.000 0.500
0.500 0.000 0.000
0.500 0.000 0.500
0.500 0.500 0.500


3.
PBE MoAsW, relaxed; calculated formation energy = 221 meV per atom; V = 48.3 Å³/f.u.; ρ = 12.200 g/cm³
1.0
4.410 0.000 0.000
-2.205 3.819 0.000
0.000 0.000 2.866
Mo W As
1 1 1
direct
0.333 0.667 0.262
0.667 0.333 0.862
0.000 0.000 0.875


4.
PBE Sc3AlRh, relaxed; calculated formation energy = 598 meV per atom; V = 125.0 Å³/f.u.; ρ = 3.516 g/cm³
1.0
-3.220 -2.643 -2.766
3.729 -1.359 -3.042
0.856 -4.022 2.846
Sc Al Rh
3 1 1
direct
0.500 0.000 0.000
0.000 0.500 0.000
0.000 0.000 0.500
0.000 0.000 0.000
0.500 0.500 0.500


5.
PBE LiCaYAg2, relaxed; calculated formation energy = 500 meV per atom; V = 159.1 Å³/f.u.; ρ = 3.670 g/cm³
1.0
-3.999 -3.650 0.411
3.404 -3.465 2.352
-1.327 2.001 4.870
Ca Ag Li Y
1 2 1 1
direct
0.500 0.500 0.500
0.000 0.000 0.500
0.500 0.000 0.000
0.000 0.500 0.000
0.000 0.000 0.000


6.
PBE Pa2CuSb, relaxed; energy relative to the elements, uncorrected = -10.27 kJ per mole of atoms; V = 89.6 Å³/f.u.; ρ = 12.000 g/cm³
1.0
-3.545 5.110 -0.573
-6.116 -0.586 -1.426
-4.224 1.388 4.474
Cu Sb Pa
2 2 4
direct
0.250 0.779 0.721
0.750 0.221 0.279
0.250 0.201 0.299
0.750 0.799 0.701
0.775 0.725 0.225
0.225 0.275 0.775
0.725 0.275 0.775
0.275 0.725 0.225


7.
PBE SiIrPb2, relaxed; energy relative to the elements, uncorrected = -19.85 kJ per mole of atoms; V = 100.1 Å³/f.u.; ρ = 10.534 g/cm³
1.0
-1.048 -2.983 2.577
2.842 -1.794 2.312
-0.501 3.116 6.617
Pb Si Ir
2 1 1
direct
0.780 0.780 0.660
0.970 0.970 0.090
0.542 0.542 0.375
0.208 0.208 0.375


8.
PBE Tb8PrDy2, relaxed; calculated formation energy = 170 meV per atom; V = 363.2 Å³/f.u.; ρ = 7.944 g/cm³
1.0
-5.983 2.096 2.037
-8.204 -6.147 -0.597
-6.020 -6.047 5.714
Tb Dy Pr
8 2 1
direct
0.271 0.411 0.411
0.769 0.174 0.645
0.231 0.826 0.355
0.729 0.589 0.589
0.231 0.355 0.826
0.180 0.757 0.757
0.769 0.645 0.174
0.820 0.243 0.243
0.615 0.794 0.794
0.385 0.206 0.206
0.000 0.000 0.000


9.
PBE K2PuGaBr6, relaxed; energy relative to the elements, uncorrected = -138.18 kJ per mole of atoms; V = 365.9 Å³/f.u.; ρ = 3.954 g/cm³
1.0
7.777 0.000 0.038
0.000 8.348 0.000
0.123 0.000 11.274
K Br Ga Pu
4 12 2 2
direct
0.532 0.581 0.753
0.032 0.919 0.253
0.468 0.419 0.247
0.968 0.081 0.747
0.877 0.545 0.240
0.702 0.313 0.939
0.123 0.455 0.760
0.623 0.045 0.260
0.202 0.187 0.439
0.798 0.813 0.561
0.377 0.955 0.740
0.323 0.708 0.438
0.823 0.792 0.938
0.177 0.208 0.062
0.677 0.292 0.562
0.298 0.687 0.061
0.000 0.500 0.500
0.500 0.000 0.000
0.500 0.000 0.500
0.000 0.500 0.000


10.
PBE Li5InCoN2, relaxed; energy relative to the elements, uncorrected = -18.61 kJ per mole of atoms; V = 129.2 Å³/f.u.; ρ = 3.040 g/cm³
1.0
-1.156 1.642 3.632
3.358 -1.637 1.809
3.882 6.221 -1.576
Li In Co N
5 1 1 2
direct
0.000 0.500 0.204
0.500 0.000 0.204
0.000 0.000 0.500
0.000 0.500 0.796
0.500 0.000 0.796
0.500 0.500 0.500
0.000 0.000 0.000
0.000 0.000 0.769
0.000 0.000 0.231


11.
PBE LiYTlGe, relaxed; calculated formation energy = -337 meV per atom; V = 90.4 Å³/f.u.; ρ = 6.852 g/cm³
1.0
-2.244 -4.495 0.357
2.777 -4.161 0.587
-0.038 -2.454 4.399
Ge Tl Li Y
1 1 1 1
direct
0.250 0.250 0.250
0.750 0.750 0.750
0.000 0.000 0.000
0.500 0.500 0.500


12.
PBE NaTePdN2, relaxed; energy relative to the elements, uncorrected = 188.31 kJ per mole of atoms; V = 112.8 Å³/f.u.; ρ = 4.197 g/cm³
1.0
-4.211 0.438 -0.281
-0.478 -4.163 0.671
-0.305 1.030 6.170
N Na Pd Te
2 1 1 1
direct
0.000 0.500 0.000
0.500 0.000 0.000
0.000 0.000 0.000
0.500 0.500 0.500
0.000 0.000 0.500


13.
PBE CeAlAu4, relaxed; calculated formation energy = -447 meV per atom; V = 128.3 Å³/f.u.; ρ = 12.361 g/cm³
1.0
-3.075 -2.732 2.925
5.612 -3.674 2.469
2.327 6.098 3.787
Ce Au Al
2 8 2
direct
0.384 0.750 0.767
0.616 0.250 0.233
0.409 0.250 0.817
0.000 0.000 0.000
0.591 0.750 0.183
0.784 0.559 0.567
0.000 0.500 0.000
0.216 0.441 0.433
0.784 0.941 0.567
0.216 0.059 0.433
0.134 0.750 0.268
0.866 0.250 0.732


14.
PBE CaAcSm, relaxed; calculated formation energy = 41 meV per atom; V = 120.1 Å³/f.u.; ρ = 5.771 g/cm³
1.0
-1.790 -3.315 0.696
5.384 -2.931 -0.107
1.937 3.205 9.708
Sm Ca Ac
2 2 2
direct
0.449 0.250 0.898
0.551 0.750 0.102
0.784 0.250 0.567
0.216 0.750 0.433
0.107 0.250 0.214
0.893 0.750 0.786


15.
PBE BaSmMg, relaxed; calculated formation energy = 26 meV per atom; V = 118.0 Å³/f.u.; ρ = 4.389 g/cm³
1.0
3.971 0.000 0.000
0.000 3.971 0.000
-1.985 -1.985 14.975
Mg Sm Ba
2 2 2
direct
0.848 0.848 0.696
0.152 0.152 0.304
0.713 0.713 0.426
0.287 0.287 0.574
0.569 0.569 0.139
0.431 0.431 0.861


16.
PBE Ac4Ge5Au3, relaxed; calculated formation energy = -577 meV per atom; V = 335.7 Å³/f.u.; ρ = 9.210 g/cm³
1.0
-2.303 -1.976 -3.661
-5.816 -4.483 2.990
-8.705 5.003 -0.313
Ac Ge Au
4 5 3
direct
0.741 0.230 0.288
0.959 0.250 0.832
0.259 0.770 0.712
0.041 0.750 0.168
0.500 0.500 0.500
0.283 0.421 0.014
0.409 0.077 0.104
0.717 0.579 0.986
0.591 0.923 0.896
0.634 0.109 0.622
0.366 0.891 0.378
0.000 0.500 0.500


17.
PBE Ti8Sb2S, relaxed; energy relative to the elements, uncorrected = -37.92 kJ per mole of atoms; V = 192.4 Å³/f.u.; ρ = 5.684 g/cm³
1.0
-4.123 -1.997 0.391
0.348 -1.760 -5.320
5.130 -4.293 5.132
S Ti Sb
1 8 2
direct
0.500 0.000 0.000
0.776 0.680 0.551
0.005 0.760 0.010
0.417 0.542 0.835
0.583 0.458 0.165
0.359 0.996 0.719
0.641 0.004 0.281
0.995 0.240 0.990
0.224 0.320 0.449
0.831 0.270 0.661
0.169 0.730 0.339


18.
PBE AlZn2InIr, relaxed; calculated formation energy = 9 meV per atom; V = 113.5 Å³/f.u.; ρ = 6.799 g/cm³
1.0
4.900 0.000 0.000
0.000 4.729 0.000
0.000 0.000 4.900
Zn Al Ir In
2 1 1 1
direct
0.500 0.000 0.000
0.000 0.000 0.500
0.000 0.500 0.000
0.000 0.000 0.000
0.500 0.500 0.500


19.
PBE Tm2MgCo, relaxed; calculated formation energy = 110 meV per atom; V = 112.5 Å³/f.u.; ρ = 6.215 g/cm³
1.0
-2.738 2.385 0.332
-2.493 0.295 -2.645
-7.180 -5.955 3.589
Co Tm Mg
1 2 1
direct
0.500 0.500 0.500
0.116 0.116 0.653
0.884 0.884 0.347
0.000 0.000 0.000